Sr3LiRh | PBE | relaxed

Properties
Magnetization in μB per formula unit: 0.00
Total DFT energy (no corrections) in hartree per atom: -0.10582
Energy of formation in kJ/mol of atoms: -1.68
V in Å³/cell: 353.4
SG: C2/m

Cell: 9.310 9.310 6.883 Å, 95.54 95.54 36.55°
Fractional positions:
1 Sr 0.012 0.012 0.270
2 Sr 0.188 0.188 0.023
3 Sr 0.328 0.328 0.528
4 Sr 0.672 0.672 0.472
5 Sr 0.812 0.812 0.977
6 Sr 0.988 0.988 0.730
7 Li 0.420 0.420 0.088
8 Li 0.580 0.580 0.912
9 Rh 0.145 0.145 0.589
10 Rh 0.855 0.855 0.411